Compound: BaTi2P
Source: Alexandria via LeMat-Bulk
Functional: PBE
Structure: optimized geometry

Computed properties:
ΔE_f (meV per atom): 15.0
Theoretical density (g/cm³): 4.2
Uncorrected energy (Ry per atom): -0.42376
Crystal system: tetragonal

Unit cell a=4.7805 b=4.7805 c=9.7954 alpha=75.88 beta=75.88 gamma=90.00
Closest atoms and distances in Å follow each position.
Sites, in units of the cell vectors:
1 Ti 0.3748 0.1250 0.2500  2 Ti 2.39, 2 P 2.59
2 P 0.5000 0.5000 0.0000  4 Ti 2.59
3 Ti 0.3750 0.6252 0.7500  2 Ti 2.39, 2 P 2.59
4 Ti 0.3752 0.6250 0.2500  2 Ti 2.39, 2 P 2.59
5 Ti 0.8750 0.6248 0.7500  2 Ti 2.39, 2 P 2.59
6 Ba 0.0000 0.0000 0.0000  4 P 3.38, 8 Ti 3.52-3.53
7 Ba 0.7500 0.2500 0.5000  4 P 3.38, 8 Ti 3.52-3.53
8 P 0.2500 0.7500 0.5000  4 Ti 2.59

Compound: AcPtI6
Source: Alexandria via LeMat-Bulk
Functional: PBE
Structure: optimized geometry

Computed properties:
Theoretical density (g/cm³): 5.4
Uncorrected energy (Ry per atom): -0.23034
Energy relative to the elements, uncorrected (eV/f.u.): -5.62
Crystal system: monoclinic

Unit cell a=7.6404 b=7.6404 c=7.6086 alpha=98.70 beta=98.70 gamma=119.88
Closest atoms and distances in Å follow each position.
Sites, in units of the cell vectors:
1 I 0.1517 0.4504 0.2905  1 Pt 2.70
2 I 0.5496 0.8483 0.7095  1 Pt 2.70
3 I 0.7483 0.7483 0.2640  1 Pt 2.98, 1 Ac 3.18
4 Ac 0.0000 0.0000 0.0000  6 I 3.18-3.32
5 I 0.2517 0.2517 0.7360  1 Pt 2.98, 1 Ac 3.18
6 Pt 0.5000 0.5000 0.5000  6 I 2.70-2.98
7 I 0.4504 0.1517 0.2905  1 Pt 2.70
8 I 0.8483 0.5496 0.7095  1 Pt 2.70